Record 1
DFT (GGA-PBE) results for a geometry-optimized Th2AlNi5 structure.

a = 5.790 Å, b = 5.790 Å, c = 5.790 Å
α = 118.95°, β = 118.95°, γ = 91.82°
Sites, in units of the cell vectors:
Th 0.000 0.500 0.500
Th 0.500 0.000 0.500
Al 0.262 0.262 0.000
Ni 0.533 0.533 0.579
Ni 0.533 0.954 0.000
Ni 0.954 0.533 0.000
Ni 0.954 0.954 0.421
Ni 0.960 0.960 0.000

As for the space group: I4mm (107). For the formation energy from the elements, the calculation gives -2.90 eV/f.u.

=====

Record 2
DFT (GGA-PBE) results for a geometry-optimized GeMoS2N structure.

a = 4.834 Å, b = 4.834 Å, c = 3.540 Å
α = 90.00°, β = 90.00°, γ = 90.00°
Sites, in units of the cell vectors:
Ge 0.000 0.000 0.000
Mo 0.500 0.500 0.500
S 0.000 0.500 0.000
S 0.500 0.000 0.000
N 0.000 0.000 0.500

The calculation puts the uncorrected formation energy at 0.958 eV/atom. As for the space group: P4/mmm (123). The polymorph energy (0 for the lowest one) comes out at 0.803 eV per atom.

=====

Record 3
DFT (GGA-PBE) results for a geometry-optimized CsErCdO3 structure.

a = 7.335 Å, b = 3.597 Å, c = 9.927 Å
α = 90.00°, β = 111.42°, γ = 90.00°
Sites, in units of the cell vectors:
Cs 0.147 0.250 0.189
Cs 0.853 0.750 0.811
Er 0.378 0.250 0.850
Er 0.622 0.750 0.150
Cd 0.180 0.750 0.553
Cd 0.820 0.250 0.447
O 0.056 0.250 0.656
O 0.327 0.750 0.979
O 0.445 0.750 0.730
O 0.555 0.250 0.270
O 0.673 0.250 0.021
O 0.944 0.750 0.344

The calculation puts the uncorrected formation energy at -2.069 eV/atom. As for the space group: P2_1/m (11).

=====

Record 4
DFT (GGA-PBE) results for a geometry-optimized CdCu2Br structure.

a = 3.388 Å, b = 3.803 Å, c = 6.306 Å
α = 90.00°, β = 90.00°, γ = 90.00°
Sites, in units of the cell vectors:
Cd 0.000 0.000 0.000
Cu 0.500 0.500 0.187
Cu 0.500 0.500 0.813
Br 0.000 0.500 0.500

The calculation puts the uncorrected formation energy at 0.050 eV/atom. As for the space group: Pmmm (47). The polymorph energy (0 for the lowest one) comes out at 0.000 eV per atom.

=====

Values of calculated total energy, in order: -50.39; -27.24; -33.62; -10.58, all in eV/f.u..